[1]
PBE-GGA Sm4Bi3Pb, optimized geometry; crystal system = cubic; energy of formation from the pure elements = -792 meV/atom; calculated volume = 33.316 Å³ per atom
1.0
6.435 0.000 0.000
0.000 6.435 0.000
0.000 0.000 6.435
Bi Sm Pb
3 4 1
direct
0.500 0.000 0.500
0.500 0.500 0.000
0.000 0.500 0.500
0.500 0.500 0.500
0.000 0.000 0.500
0.500 0.000 0.000
0.000 0.500 0.000
0.000 0.000 0.000

=====

[2]
PBE-GGA YZrCl2, optimized geometry; crystal system = orthorhombic; formation energy from raw total energies = -0.88 eV per atom; energy relative to the lowest polymorph listed for this composition = 10.44 kcal/mol of atoms; calculated volume = 22.858 Å³ per atom
1.0
3.215 0.000 0.000
0.000 6.263 0.000
0.000 0.000 4.541
Cl Y Zr
2 1 1
direct
0.500 0.500 0.000
0.000 0.000 0.000
0.500 0.000 0.500
0.000 0.500 0.500

=====

[3]
PBE-GGA LaMgSbI2, optimized geometry; crystal system = tetragonal; formation energy from raw total energies = -0.37 eV per atom; energy relative to the lowest polymorph listed for this composition = 3.02 kcal/mol of atoms; calculated volume = 48.782 Å³ per atom
1.0
-0.506 -6.105 -0.731
2.708 -0.880 5.474
-5.734 0.133 2.857
La I Mg Sb
1 2 1 1
direct
0.000 0.000 0.000
0.000 0.500 0.000
0.500 0.000 0.000
0.500 0.500 0.500
0.000 0.000 0.500

=====

[4]
PBE-GGA CaNiHg2, optimized geometry; crystal system = monoclinic; energy of formation from the pure elements = -123 meV/atom; calculated volume = 22.897 Å³ per atom
1.0
-2.109 -1.618 2.993
2.463 -3.164 0.025
4.588 1.050 3.801
Ni Hg Ca
1 2 1
direct
0.000 0.288 0.547
0.000 0.058 0.010
0.500 0.436 0.253
0.500 0.717 0.690

=====

[5]
PBE-GGA PRuSeBr2, optimized geometry; crystal system = tetragonal; formation energy from raw total energies = 0.98 eV per atom; energy relative to the lowest polymorph listed for this composition = 5.52 kcal/mol of atoms; calculated volume = 25.050 Å³ per atom
1.0
5.000 0.000 0.000
0.000 5.000 0.000
0.000 0.000 5.010
Br P Se Ru
2 1 1 1
direct
0.000 0.500 0.000
0.500 0.000 0.000
0.000 0.000 0.000
0.000 0.000 0.500
0.500 0.500 0.500

=====

[6]
PBE-GGA LaTc3Ag, optimized geometry; crystal system = cubic; energy of formation from the pure elements = 1763 meV/atom; energy relative to the lowest polymorph listed for this composition = 0.00 kcal/mol of atoms; calculated volume = 24.027 Å³ per atom
1.0
-3.007 -2.153 -3.267
3.898 -1.998 -2.271
-0.332 -3.965 2.918
Tc La Ag
3 1 1
direct
0.500 0.000 0.000
0.000 0.500 0.000
0.000 0.000 0.500
0.500 0.500 0.500
0.000 0.000 0.000

=====

[7]
PBE-GGA Be2SbPd2, optimized geometry; crystal system = tetragonal; formation energy from raw total energies = -0.24 eV per atom; energy relative to the lowest polymorph listed for this composition = 0.09 kcal/mol of atoms; calculated volume = 14.830 Å³ per atom
1.0
3.396 0.000 0.000
0.000 3.396 0.000
1.698 1.698 6.429
Sb Be Pd
1 2 2
direct
0.000 0.000 0.000
0.250 0.750 0.500
0.750 0.250 0.500
0.621 0.621 0.759
0.379 0.379 0.241

=====

[8]
PBE-GGA In3TeI, optimized geometry; crystal system = cubic; formation energy from raw total energies = 0.10 eV per atom; energy relative to the lowest polymorph listed for this composition = 8.20 kcal/mol of atoms; calculated volume = 51.005 Å³ per atom
1.0
-5.299 -1.432 -3.176
2.114 -5.917 -0.859
-2.770 -1.776 5.421
In Te I
3 1 1
direct
0.000 0.500 0.000
0.500 0.000 0.000
0.000 0.000 0.500
0.000 0.000 0.000
0.500 0.500 0.500

=====

[9]
PBE-GGA ScCd2Hg2, optimized geometry; crystal system = tetragonal; energy of formation from the pure elements = 9 meV/atom; energy relative to the lowest polymorph listed for this composition = 3.68 kcal/mol of atoms; calculated volume = 23.381 Å³ per atom
1.0
8.132 0.000 0.000
0.000 8.132 0.000
0.000 0.000 3.536
Sc Cd Hg
2 4 4
direct
0.000 0.000 0.000
0.500 0.500 0.000
0.374 0.874 0.000
0.874 0.626 0.000
0.126 0.374 0.000
0.626 0.126 0.000
0.177 0.677 0.500
0.323 0.177 0.500
0.823 0.323 0.500
0.677 0.823 0.500

=====

[10]
PBE-GGA Ac3Te2Se, optimized geometry; crystal system = orthorhombic; formation energy from raw total energies = -1.60 eV per atom; energy relative to the lowest polymorph listed for this composition = 0.07 kcal/mol of atoms; calculated volume = 35.508 Å³ per atom
1.0
-3.882 -0.969 -2.291
-0.638 -5.576 3.438
-1.467 6.698 4.292
Ac Te Se
3 2 1
direct
0.348 0.348 0.696
0.652 0.652 0.304
0.000 0.000 0.000
0.673 0.173 0.347
0.327 0.827 0.653
0.000 0.500 0.000

=====

[11]
PBE-GGA K4MgSc, optimized geometry; crystal system = cubic; energy of formation from the pure elements = 627 meV/atom; calculated volume = 49.103 Å³ per atom
1.0
0.000 5.281 5.281
5.281 0.000 5.281
5.281 5.281 0.000
K Sc Mg
4 1 1
direct
0.875 0.375 0.375
0.375 0.375 0.375
0.375 0.375 0.875
0.375 0.875 0.375
0.000 0.000 0.000
0.750 0.750 0.750

=====

[12]
PBE-GGA LiLaGaRu, optimized geometry; crystal system = cubic; energy of formation from the pure elements = -226 meV/atom; calculated volume = 18.756 Å³ per atom
1.0
-2.217 -3.716 -1.921
-0.873 -3.848 2.617
-4.438 -1.032 1.285
Ru La Li Ga
1 1 1 1
direct
0.750 0.750 0.750
0.000 0.000 0.000
0.250 0.250 0.250
0.500 0.500 0.500

=====

Number 1: uncorrected energy -5.07 eV/atom. Number 2: uncorrected energy -5.55 eV/atom. Number 3: uncorrected energy -3.12 eV/atom. Number 4: uncorrected energy -2.22 eV/atom. Number 5: uncorrected energy -3.32 eV/atom. Number 6: uncorrected energy -6.01 eV/atom. Number 7: uncorrected energy -4.64 eV/atom. Number 8: uncorrected energy -2.48 eV/atom. Number 9: uncorrected energy -1.74 eV/atom. Number 10: uncorrected energy -5.28 eV/atom. Number 11: uncorrected energy -1.43 eV/atom. Number 12: uncorrected energy -5.01 eV/atom.